This record from the Alexandria database describes Ba2CoNi after structural relaxation. The functional is GGA-PBE.

Energy of formation (eV/atom): 0.430
VASP energy (eV per atom): -3.7534
Offset from the most stable computed form (meV per atom): 231
Total moment (μB/f.u.): 1.937

Cell: 3.530 3.530 9.154 Å, 90.00 90.00 90.00°
Space group P4mm (No. 99)
Unique sites:
Ba 0.000 0.000 0.000
Ba 0.500 0.500 0.442
Co 0.000 0.000 0.695
Ni 0.500 0.500 0.752

=====

This record from the Alexandria database describes RbSb3Au3 after structural relaxation. The functional is GGA-PBE.

VASP energy (eV per atom): -3.4129
Offset from the most stable computed form (meV per atom): 80
Total moment (μB/f.u.): 0.000

Cell: 8.0880 8.0880 25.5178 Å, 90.00 90.00 120.00°
Space group R-3 (No. 148, hexagonal axes)
Unique sites:
Rb 0.0000 0.0000 0.1673
Sb 0.0016 0.3153 0.3909
Au 0.0024 0.3551 0.6130

=====

This record from the Alexandria database describes Tl2SiBr after structural relaxation. The functional is GGA-PBE.

VASP energy (eV per atom): -2.6957
Offset from the most stable computed form (meV per atom): 200
Total moment (μB/f.u.): 0.002

Cell: 3.599 5.266 5.873 Å, 90.00 90.00 90.00°
Space group Pmmm (No. 47)
Unique sites:
Tl 0.000 0.000 0.000
Tl 0.500 0.000 0.500
Si 0.000 0.500 0.500
Br 0.500 0.500 0.000

=====

This record from the Alexandria database describes Li2ScFe after structural relaxation. The functional is GGA-PBE.

Energy of formation (eV/atom): 0.326
VASP energy (eV per atom): -4.3297
Offset from the most stable computed form (meV per atom): 151
Total moment (μB/f.u.): 1.419

Cell: 6.401 6.401 6.401 Å, 90.00 90.00 90.00°
Space group F-43m (No. 216)
Unique sites:
Li 0.000 0.000 0.000
Li 0.250 0.250 0.250
Sc 0.250 0.250 0.750
Fe 0.000 0.000 0.500

=====

This record from the Alexandria database describes HoPuMgTl after structural relaxation. The functional is GGA-PBE.

Energy of formation (eV/atom): -0.040
VASP energy (eV per atom): -5.7580
Total moment (μB/f.u.): 6.327

Cell: 7.575 7.575 7.575 Å, 90.00 90.00 90.00°
Space group F-43m (No. 216)
Unique sites:
Ho 0.000 0.000 0.000
Pu 0.000 0.000 0.500
Mg 0.250 0.250 0.750
Tl 0.250 0.250 0.250

=====

This record from the Alexandria database describes Li3Mg6Sc after structural relaxation. The functional is GGA-PBE.

Energy of formation (eV/atom): -0.040
VASP energy (eV per atom): -2.2043
Total moment (μB/f.u.): 0.002

Cell: 8.845 4.793 10.305 Å, 90.00 101.45 90.00°
Space group P2_1/m (No. 11)
Unique sites:
Li 0.049 0.250 0.397
Li 0.151 0.750 0.193
Li 0.251 0.250 0.982
Mg 0.040 0.750 0.900
Mg 0.130 0.250 0.694
Mg 0.228 0.750 0.483
Mg 0.329 0.250 0.285
Mg 0.348 0.750 0.787
Mg 0.439 0.750 0.095
Sc 0.448 0.250 0.594